PBE-GGA AlAgGe, optimized geometry; density = 6.26 g/cm3; crystal system = monoclinic; E_tot = -3.596 eV/atom; formation energy = 0.42 eV per formula unit
1.0
6.407 0.000 0.000
0.000 5.551 0.000
-1.620 0.000 6.192
Al Ag Ge
4 4 4
Cartesian
-0.064 0.000 1.880
1.648 2.775 4.312
3.140 2.775 1.880
4.851 0.000 4.312
1.602 1.388 0.000
1.602 4.163 0.000
4.805 1.388 0.000
4.805 4.163 0.000
0.265 2.775 2.044
1.319 0.000 4.148
3.469 0.000 2.044
4.522 2.775 4.148